1.
Below is crystalline BeNi3Pt6 at its relaxed geometry, with properties calculated at the PBE level.

Properties
Formation energy   -163 meV per atom
N(E_F)   14.14 states/eV/f.u.

Cell: 4.3452 7.1408 9.4310 Å, 111.01 90.00 90.00°
Last column: nearest neighbours and their distance in Å.
Fractional coordinates of all 20 atoms:
Ni: 0.2500 0.4040 0.7830  8 Pt 2.50-2.76, 3 Ni 2.60-2.72
Ni: 0.2500 0.5255 0.3641  9 Pt 2.54-2.75, 2 Ni 2.72
Ni: 0.2500 0.7747 0.9701  1 Ni 2.60, 10 Pt 2.66-2.82
Ni: 0.7500 0.5960 0.2170  8 Pt 2.50-2.76, 3 Ni 2.60-2.72
Ni: 0.7500 0.2253 0.0299  1 Ni 2.60, 10 Pt 2.66-2.82
Ni: 0.7500 0.4745 0.6359  9 Pt 2.54-2.75, 2 Ni 2.72
Pt: 0.7500 0.9126 0.1460  1 Be 2.42, 3 Ni 2.58-2.70
Pt: 0.7500 0.5319 0.9251  7 Ni 2.54-2.72, 5 Pt 2.72-2.82
Pt: 0.2500 0.4681 0.0749  7 Ni 2.54-2.72, 5 Pt 2.72-2.82
Pt: 0.7500 0.7553 0.5007  3 Be 2.37-2.59, 1 Ni 2.50
Pt: 0.2500 0.8482 0.3096  3 Be 2.38-2.57, 1 Ni 2.54
Pt: 0.7500 0.3226 0.3443  1 Be 2.41, 4 Ni 2.57-2.63
Pt: 0.2500 0.2447 0.4993  3 Be 2.37-2.59, 1 Ni 2.50
Pt: 0.7500 0.8513 0.8302  4 Ni 2.66-2.70, 8 Pt 2.71-2.93
Pt: 0.2500 0.1487 0.1698  4 Ni 2.66-2.70, 8 Pt 2.71-2.93
Pt: 0.2500 0.6774 0.6557  1 Be 2.41, 4 Ni 2.57-2.63
Pt: 0.7500 0.1518 0.6904  3 Be 2.38-2.57, 1 Ni 2.54
Pt: 0.2500 0.0874 0.8540  1 Be 2.42, 3 Ni 2.58-2.70
Be: 0.7500 0.0348 0.4206  8 Pt 2.37-2.59
Be: 0.2500 0.9652 0.5794  8 Pt 2.37-2.59


2.
Below is crystalline Y4Co3 at its relaxed geometry, with properties calculated at the PBE level.

Properties
Formation energy   168 meV per atom
N(E_F)   7.86 states/eV/f.u.

Cell: 5.2603 5.2603 6.0924 Å, 90.00 90.00 120.00°
Last column: nearest neighbours and their distance in Å.
Fractional coordinates of all 7 atoms:
Y: 0.6667 0.3333 0.5000  3 Y 3.04
Y: 0.3333 0.6667 0.5000  3 Y 3.04
Y: 0.0000 0.0000 0.7623  2 Y 2.90-3.20, 6 Co 3.00
Y: 0.0000 0.0000 0.2377  2 Y 2.90-3.20, 6 Co 3.00
Co: 0.0000 0.5000 0.0000  4 Co 2.63
Co: 0.5000 0.0000 0.0000  4 Co 2.63
Co: 0.5000 0.5000 0.0000  4 Co 2.63


3.
Below is crystalline NbSn3N at its relaxed geometry, with properties calculated at the PBE level.

Properties
Formation energy without anion corrections   0.6641 eV/atom
N(E_F)   3.68 states/eV/f.u.

Cell: 4.6292 4.6292 4.6292 Å, 90.00 90.00 90.00°
Last column: nearest neighbours and their distance in Å.
Fractional coordinates of all 5 atoms:
Nb: 0.5000 0.5000 0.5000  12 Sn 3.27
Sn: 0.5000 0.0000 0.0000  2 N 2.31
Sn: 0.0000 0.5000 0.0000  2 N 2.31
Sn: 0.0000 0.0000 0.5000  2 N 2.31
N: 0.0000 0.0000 0.0000  6 Sn 2.31


4.
Below is crystalline Nd6Ga3Fe11 at its relaxed geometry, with properties calculated at the PBE level.

Properties
Formation energy   -154 meV per atom
N(E_F)   21.43 states/eV/f.u.

Cell: 8.0722 8.0722 12.9062 Å, 71.78 71.78 90.00°
Last column: nearest neighbours and their distance in Å.
Fractional coordinates of all 40 atoms:
Fe: 0.5007 0.0007 0.9987  10 Fe 2.39-2.54, 2 Ga 2.66
Fe: 0.1180 0.6180 0.1129  5 Fe 2.39-2.55, 3 Ga 2.51-2.60
Fe: 0.6180 0.7691 0.1129  5 Fe 2.39-2.55, 3 Ga 2.51-2.60
Fe: 0.3812 0.2388 0.8799  9 Fe 2.46-2.70
Fe: 0.0007 0.5007 0.9987  10 Fe 2.39-2.54, 2 Ga 2.66
Fe: 0.2121 0.9328 0.9974  9 Fe 2.40-2.63, 1 Ga 2.69
Fe: 0.7691 0.2691 0.1129  5 Fe 2.39-2.55, 3 Ga 2.51-2.60
Fe: 0.7388 0.8812 0.8799  9 Fe 2.46-2.70
Fe: 0.2388 0.7388 0.8799  9 Fe 2.46-2.70
Fe: 0.5698 0.2905 0.9974  9 Fe 2.40-2.63
Fe: 0.9830 0.7080 0.8090  7 Fe 2.52-2.63
Fe: 0.7905 0.0698 0.9974  9 Fe 2.40-2.63
Fe: 0.2691 0.1180 0.1129  5 Fe 2.39-2.55, 3 Ga 2.51-2.60
Fe: 0.8812 0.3812 0.8799  9 Fe 2.46-2.70
Fe: 0.4328 0.7121 0.9974  9 Fe 2.40-2.63, 1 Ga 2.69
Fe: 0.2080 0.4830 0.8090  7 Fe 2.52-2.63
Fe: 0.7080 0.2080 0.8090  7 Fe 2.52-2.63
Fe: 0.0698 0.2121 0.9974  9 Fe 2.40-2.63, 1 Ga 2.69
Fe: 0.7121 0.5698 0.9974  9 Fe 2.40-2.63, 1 Ga 2.69
Fe: 0.4830 0.9830 0.8090  7 Fe 2.52-2.63
Fe: 0.9328 0.7905 0.9974  9 Fe 2.40-2.63
Fe: 0.2905 0.4328 0.9974  9 Fe 2.40-2.63
Ga: 0.7812 0.5244 0.1945  6 Fe 2.51-2.69, 1 Ga 2.78
Ga: 0.5244 0.0244 0.1945  6 Fe 2.51-2.69, 1 Ga 2.78
Ga: 0.7503 0.7503 0.4994  10 Nd 3.28-3.36
Ga: 0.2812 0.7812 0.1945  6 Fe 2.51-2.69, 1 Ga 2.78
Ga: 0.0244 0.2812 0.1945  6 Fe 2.51-2.69, 1 Ga 2.78
Ga: 0.2503 0.2503 0.4994  10 Nd 3.28-3.36
Nd: 0.5223 0.3511 0.6266  3 Fe 2.94-3.10
Nd: 0.6072 0.6072 0.7856  12 Fe 3.03-3.27, 1 Ga 3.31
Nd: 0.9764 0.4764 0.3848  1 Fe 3.15, 5 Ga 3.24-3.28, 1 Nd 3.39
Nd: 0.6389 0.1389 0.3848  1 Fe 3.15, 5 Ga 3.24-3.28, 1 Nd 3.39
Nd: 0.0223 0.5223 0.6266  3 Fe 2.94-3.10
Nd: 0.8944 0.8944 0.2113  8 Fe 3.05-3.19, 5 Ga 3.21-3.33
Nd: 0.4764 0.6389 0.3848  1 Fe 3.15, 5 Ga 3.24-3.28, 1 Nd 3.39
Nd: 0.8511 0.0223 0.6266  3 Fe 2.94-3.10
Nd: 0.1072 0.1072 0.7856  12 Fe 3.03-3.27, 1 Ga 3.31
Nd: 0.1389 0.9764 0.3848  1 Fe 3.15, 5 Ga 3.24-3.28, 1 Nd 3.39
Nd: 0.3511 0.8511 0.6266  3 Fe 2.94-3.10
Nd: 0.3944 0.3944 0.2113  8 Fe 3.05-3.19, 5 Ga 3.21-3.33


5.
Below is crystalline SrTiNF2 at its relaxed geometry, with properties calculated at the PBE level.

Properties
Formation energy without anion corrections   -2.3275 eV/atom
N(E_F)   1.12 states/eV/f.u.

Cell: 4.1493 4.1493 4.0399 Å, 90.00 90.00 90.00°
Last column: nearest neighbours and their distance in Å.
Fractional coordinates of all 5 atoms:
N: 0.0000 0.0000 0.5000  2 Ti 2.02
Sr: 0.5000 0.5000 0.5000  8 F 2.90, 4 N 2.93
F: 0.5000 0.0000 0.0000  2 Ti 2.07
F: 0.0000 0.5000 0.0000  2 Ti 2.07
Ti: 0.0000 0.0000 0.0000  2 N 2.02, 4 F 2.07


6.
Below is crystalline Ac2Zn15Ru2 at its relaxed geometry, with properties calculated at the PBE level.

Properties
Formation energy   -190 meV per atom
N(E_F)   6.88 states/eV/f.u.

Cell: 6.9362 6.9362 6.9362 Å, 83.25 83.25 83.25°
Last column: nearest neighbours and their distance in Å.
Fractional coordinates of all 19 atoms:
Zn: 0.0000 0.2776 0.7224  6 Zn 2.56-2.74
Zn: 0.3411 0.3411 0.8547  8 Zn 2.63-2.91, 1 Ru 2.79
Zn: 0.5000 0.0000 0.0000  8 Zn 2.60-2.63, 2 Ru 2.80
Zn: 0.6589 0.1453 0.6589  8 Zn 2.63-2.91, 1 Ru 2.79
Zn: 0.0000 0.7224 0.2776  6 Zn 2.56-2.74
Zn: 0.1453 0.6589 0.6589  8 Zn 2.63-2.91, 1 Ru 2.79
Zn: 0.0000 0.0000 0.5000  8 Zn 2.60-2.63, 2 Ru 2.80
Zn: 0.7224 0.0000 0.2776  6 Zn 2.56-2.74
Zn: 0.2776 0.0000 0.7224  6 Zn 2.56-2.74
Zn: 0.7224 0.2776 0.0000  6 Zn 2.56-2.74
Zn: 0.3411 0.8547 0.3411  8 Zn 2.63-2.91, 1 Ru 2.79
Zn: 0.8547 0.3411 0.3411  8 Zn 2.63-2.91, 1 Ru 2.79
Zn: 0.6589 0.6589 0.1453  8 Zn 2.63-2.91, 1 Ru 2.79
Zn: 0.0000 0.5000 0.0000  8 Zn 2.60-2.63, 2 Ru 2.80
Zn: 0.2776 0.7224 0.0000  6 Zn 2.56-2.74
Ac: 0.6604 0.6604 0.6604  1 Ru 3.20, 18 Zn 3.36-3.58
Ac: 0.3396 0.3396 0.3396  1 Ru 3.20, 18 Zn 3.36-3.58
Ru: 0.9000 0.9000 0.9000  1 Ru 2.67, 12 Zn 2.79-2.89
Ru: 0.1000 0.1000 0.1000  1 Ru 2.67, 12 Zn 2.79-2.89


Question: Look up the N(E_F) of the first one.
Answer: 14.14 states/eV/f.u.